(1)
VASP calculation (PBEsol) on a relaxed structure of NaAs4IO6.

## Properties
raw formation energy: -117 kJ per mole of atoms
total magnetic moment: 0.000 Bohr magnetons per cell

```
NaAs4IO6
1.0
5.281 0.000 0.000
-2.641 4.574 0.000
0.000 0.000 8.901
Na As I O
1 4 1 6
Direct
0.000 0.000 0.000
0.333 0.667 0.287
0.333 0.667 0.713
0.667 0.333 0.287
0.667 0.333 0.713
0.000 0.000 0.500
0.000 0.500 0.175
0.000 0.500 0.825
0.500 0.000 0.175
0.500 0.000 0.825
0.500 0.500 0.175
0.500 0.500 0.825
```

***

(2)
VASP calculation (PBEsol) on a relaxed structure of NbAsPd2I.

## Properties
raw formation energy: 131 kJ per mole of atoms
relative energy among the computed polymorphs: 517 meV per atom
total magnetic moment: 2.719 Bohr magnetons per cell

```
NbAsPd2I
1.0
4.770 0.000 0.000
0.000 4.770 0.000
0.000 0.000 5.423
Nb As Pd I
1 1 2 1
Direct
0.000 0.000 0.000
0.500 0.500 0.000
0.000 0.500 0.500
0.500 0.000 0.500
0.500 0.500 0.500
```

***

(3)
VASP calculation (PBEsol) on a relaxed structure of NbAsPd2I.

## Properties
raw formation energy: 81 kJ per mole of atoms
relative energy among the computed polymorphs: 0 meV per atom
total magnetic moment: 3.030 Bohr magnetons per cell

```
NbAsPd2I
1.0
4.562 0.000 0.000
0.000 4.562 0.000
0.000 0.000 5.541
Nb As Pd I
1 1 2 1
Direct
0.000 0.000 0.000
0.500 0.500 0.500
0.000 0.500 0.500
0.500 0.000 0.500
0.500 0.500 0.000
```

***

(4)
VASP calculation (PBEsol) on a relaxed structure of NbTeAsI2.

## Properties
raw formation energy: 50 kJ per mole of atoms
total magnetic moment: 2.769 Bohr magnetons per cell

```
NbTeAsI2
1.0
5.487 0.000 0.000
0.000 5.487 0.000
0.000 0.000 5.382
Nb Te As I
1 1 1 2
Direct
0.000 0.000 0.000
0.000 0.000 0.500
0.500 0.500 0.500
0.000 0.500 0.000
0.500 0.000 0.000
```

***

(5)
VASP calculation (PBEsol) on a relaxed structure of NiAsIO2.

## Properties
raw formation energy: 29 kJ per mole of atoms
total magnetic moment: 0.572 Bohr magnetons per cell

```
NiAsIO2
1.0
3.883 0.000 0.000
0.000 3.883 0.000
0.000 0.000 4.935
Ni As I O
1 1 1 2
Direct
0.000 0.000 0.000
0.500 0.500 0.500
0.000 0.000 0.500
0.000 0.500 0.000
0.500 0.000 0.000
```

***

(6)
VASP calculation (PBEsol) on a relaxed structure of As3IO.

## Properties
raw formation energy: 47 kJ per mole of atoms
total magnetic moment: 0.000 Bohr magnetons per cell

```
As3IO
1.0
4.533 0.000 0.000
0.000 4.533 0.000
0.000 0.000 4.533
As I O
3 1 1
Direct
0.000 0.000 0.500
0.000 0.500 0.000
0.500 0.000 0.000
0.500 0.500 0.500
0.000 0.000 0.000
```